1.
# YLuHg2 (PBE, relaxed)
data_YLuHg2
_symmetry_space_group_name_H-M 'P 1'
_symmetry_Int_Tables_number 1
_cell_length_a 3.669
_cell_length_b 3.669
_cell_length_c 7.452
_cell_angle_alpha 90.00
_cell_angle_beta 90.00
_cell_angle_gamma 90.00
loop_
_symmetry_equiv_pos_as_xyz
'x,y,z'
loop_
_atom_site_label
_atom_site_fract_x
_atom_site_fract_y
_atom_site_fract_z
Y1 0.000 0.000 0.000
Lu1 0.000 0.000 0.500
Hg1 0.500 0.500 0.261
Hg2 0.500 0.500 0.739
# ρ (g/cm³): 11.01
# DFT formation energy (eV/atom): -0.4905
# Final energy (eV/atom): -3.39
# N(E_F) (states/eV/atom): 0.813
# ΔE to the lowest computed polymorph (kJ/mol of formula units): 0
# Crystal system: tetragonal
# Total magnetic moment (μB/cell): 0.142



2.
# BaZnRh2 (PBE, relaxed)
data_BaZnRh2
_symmetry_space_group_name_H-M 'P 1'
_symmetry_Int_Tables_number 1
_cell_length_a 5.920
_cell_length_b 5.920
_cell_length_c 5.920
_cell_angle_alpha 148.92
_cell_angle_beta 129.35
_cell_angle_gamma 60.62
loop_
_symmetry_equiv_pos_as_xyz
'x,y,z'
loop_
_atom_site_label
_atom_site_fract_x
_atom_site_fract_y
_atom_site_fract_z
Ba1 0.000 0.000 0.000
Zn1 0.709 0.209 0.500
Rh1 0.282 0.782 0.500
Rh2 0.499 0.499 0.000
# ρ (g/cm³): 8.26
# DFT formation energy (eV/atom): 0.1898
# Final energy (eV/atom): -4.29
# N(E_F) (states/eV/atom): 0.835
# Crystal system: orthorhombic
# Total magnetic moment (μB/cell): 0.000



3.
# Li2MgAu5 (PBE, relaxed)
data_Li2MgAu5
_symmetry_space_group_name_H-M 'P 1'
_symmetry_Int_Tables_number 1
_cell_length_a 5.616
_cell_length_b 5.616
_cell_length_c 5.585
_cell_angle_alpha 111.45
_cell_angle_beta 111.45
_cell_angle_gamma 105.17
loop_
_symmetry_equiv_pos_as_xyz
'x,y,z'
loop_
_atom_site_label
_atom_site_fract_x
_atom_site_fract_y
_atom_site_fract_z
Li1 0.239 0.761 0.000
Li2 0.761 0.239 0.000
Mg1 0.778 0.778 0.500
Au1 0.200 0.200 0.444
Au2 0.262 0.739 0.497
Au3 0.276 0.276 0.000
Au4 0.704 0.704 0.952
Au5 0.739 0.262 0.497
# ρ (g/cm³): 12.51
# DFT formation energy (eV/atom): -0.4413
# Final energy (eV/atom): -3.17
# N(E_F) (states/eV/atom): 0.298
# ΔE to the lowest computed polymorph (kJ/mol of formula units): 21
# Crystal system: monoclinic
# Total magnetic moment (μB/cell): 0.000



4.
# SbPb3Au3 (PBE, relaxed)
data_SbPb3Au3
_symmetry_space_group_name_H-M 'P 1'
_symmetry_Int_Tables_number 1
_cell_length_a 6.276
_cell_length_b 6.276
_cell_length_c 14.583
_cell_angle_alpha 109.53
_cell_angle_beta 109.53
_cell_angle_gamma 42.22
loop_
_symmetry_equiv_pos_as_xyz
'x,y,z'
loop_
_atom_site_label
_atom_site_fract_x
_atom_site_fract_y
_atom_site_fract_z
Sb1 0.223 0.223 0.382
Sb2 0.777 0.777 0.618
Pb1 0.256 0.256 0.792
Pb2 0.386 0.386 0.076
Pb3 0.498 0.498 0.370
Pb4 0.502 0.502 0.630
Pb5 0.614 0.614 0.924
Pb6 0.744 0.744 0.208
Au1 0.008 0.008 0.213
Au2 0.125 0.125 0.067
Au3 0.130 0.130 0.542
Au4 0.870 0.870 0.458
Au5 0.875 0.875 0.933
Au6 0.992 0.992 0.787
# ρ (g/cm³): 12.30
# Final energy (eV/atom): -3.65
# N(E_F) (states/eV/atom): 0.346
# Crystal system: monoclinic
# Total magnetic moment (μB/cell): 0.000



5.
# Nd2AlS4 (PBE, relaxed)
data_Nd2AlS4
_symmetry_space_group_name_H-M 'P 1'
_symmetry_Int_Tables_number 1
_cell_length_a 6.692
_cell_length_b 6.520
_cell_length_c 7.662
_cell_angle_alpha 90.00
_cell_angle_beta 106.85
_cell_angle_gamma 90.00
loop_
_symmetry_equiv_pos_as_xyz
'x,y,z'
loop_
_atom_site_label
_atom_site_fract_x
_atom_site_fract_y
_atom_site_fract_z
Nd1 0.227 0.250 0.059
Nd2 0.242 0.250 0.558
Nd3 0.758 0.750 0.442
Nd4 0.773 0.750 0.941
Al1 0.243 0.750 0.809
Al2 0.757 0.250 0.191
S1 0.004 0.004 0.747
S2 0.004 0.496 0.747
S3 0.426 0.750 0.103
S4 0.427 0.750 0.609
S5 0.573 0.250 0.391
S6 0.574 0.250 0.897
S7 0.996 0.504 0.253
S8 0.996 0.996 0.253
# ρ (g/cm³): 4.61
# Final energy (eV/atom): -5.87
# N(E_F) (states/eV/atom): 0.265
# Crystal system: monoclinic
# Total magnetic moment (μB/cell): 0.000



6.
# TlIn2PbBr5 (PBE, relaxed)
data_TlIn2PbBr5
_symmetry_space_group_name_H-M 'P 1'
_symmetry_Int_Tables_number 1
_cell_length_a 9.877
_cell_length_b 9.877
_cell_length_c 16.966
_cell_angle_alpha 90.00
_cell_angle_beta 90.00
_cell_angle_gamma 153.70
loop_
_symmetry_equiv_pos_as_xyz
'x,y,z'
loop_
_atom_site_label
_atom_site_fract_x
_atom_site_fract_y
_atom_site_fract_z
Tl1 0.060 0.940 0.500
Tl2 0.940 0.060 0.000
In1 0.352 0.648 0.319
In2 0.445 0.555 0.721
In3 0.555 0.445 0.221
In4 0.648 0.352 0.819
Pb1 0.244 0.756 0.100
Pb2 0.756 0.244 0.600
Br1 0.033 0.967 0.832
Br2 0.089 0.911 0.088
Br3 0.237 0.763 0.479
Br4 0.264 0.736 0.726
Br5 0.404 0.596 0.131
Br6 0.596 0.404 0.631
Br7 0.736 0.264 0.226
Br8 0.763 0.237 0.979
Br9 0.911 0.089 0.588
Br10 0.967 0.033 0.332
# ρ (g/cm³): 4.71
# Final energy (eV/atom): -2.98
# N(E_F) (states/eV/atom): 0.000
# Crystal system: orthorhombic
# Total magnetic moment (μB/cell): 0.000



7.
# BaMnRh2 (PBE, relaxed)
data_BaMnRh2
_symmetry_space_group_name_H-M 'P 1'
_symmetry_Int_Tables_number 1
_cell_length_a 4.440
_cell_length_b 4.440
_cell_length_c 6.197
_cell_angle_alpha 111.18
_cell_angle_beta 111.18
_cell_angle_gamma 60.03
loop_
_symmetry_equiv_pos_as_xyz
'x,y,z'
loop_
_atom_site_label
_atom_site_fract_x
_atom_site_fract_y
_atom_site_fract_z
Ba1 0.000 0.000 0.000
Mn1 0.810 0.810 0.432
Rh1 0.189 0.189 0.568
Rh2 0.507 0.507 0.523
# ρ (g/cm³): 6.88
# DFT formation energy (eV/atom): -0.0079
# Final energy (eV/atom): -6.46
# N(E_F) (states/eV/atom): 0.589
# Crystal system: monoclinic
# Total magnetic moment (μB/cell): 4.640



8.
# Sm5BiIr2 (PBE, relaxed)
data_Sm5BiIr2
_symmetry_space_group_name_H-M 'P 1'
_symmetry_Int_Tables_number 1
_cell_length_a 8.924
_cell_length_b 8.924
_cell_length_c 8.924
_cell_angle_alpha 126.68
_cell_angle_beta 126.68
_cell_angle_gamma 78.78
loop_
_symmetry_equiv_pos_as_xyz
'x,y,z'
loop_
_atom_site_label
_atom_site_fract_x
_atom_site_fract_y
_atom_site_fract_z
Sm1 0.000 0.000 0.000
Sm2 0.025 0.525 0.814
Sm3 0.211 0.025 0.500
Sm4 0.289 0.789 0.814
Sm5 0.475 0.289 0.500
Sm6 0.500 0.500 0.000
Sm7 0.525 0.711 0.500
Sm8 0.711 0.211 0.186
Sm9 0.789 0.975 0.500
Sm10 0.975 0.475 0.186
Bi1 0.250 0.250 0.000
Bi2 0.750 0.750 0.000
Ir1 0.140 0.360 0.500
Ir2 0.360 0.860 0.220
Ir3 0.640 0.140 0.780
Ir4 0.860 0.640 0.500
# ρ (g/cm³): 10.10
# DFT formation energy (eV/atom): -0.6990
# Final energy (eV/atom): -6.35
# N(E_F) (states/eV/atom): 0.878
# Crystal system: tetragonal
# Total magnetic moment (μB/cell): 0.000